Record 1
The following is a PBE calculation of a geometry-optimized YPuRhPb structure, from Alexandria via LeMat-Bulk.

Cell and atoms, written as POSCAR:
```
YPuRhPb
1.0
-4.1052 -2.1662 -2.2876
0.6638 -3.2112 -4.0033
-0.9056 -5.0633 0.5668
Pb Y Rh Pu
1 1 1 1
Direct
0.0000 0.0000 0.0000
0.2500 0.2500 0.2500
0.5000 0.5000 0.5000
0.7500 0.7500 0.7500
```

Results
The energy comes out at -32.93 eV per cell. As for the spin magnetization: 1.27 μB per atom. Its formation energy is -0.268 eV/atom.

Record 2
The following is a PBE calculation of a geometry-optimized ErSc2PbC structure, from Alexandria via LeMat-Bulk.

Cell and atoms, written as POSCAR:
```
ErSc2PbC
1.0
-0.3714 -4.7711 -0.6502
4.5553 -0.4148 0.4419
-0.4924 -0.5793 4.5322
Er Sc Pb C
1 2 1 1
Direct
0.5000 0.0000 0.0000
0.0000 0.0000 0.5000
0.0000 0.5000 0.0000
0.5000 0.5000 0.5000
0.0000 0.0000 0.0000
```

Results
The energy comes out at -33.28 eV per cell. As for the spin magnetization: 0.00 μB per atom. Its formation energy is -0.625 eV/atom.

> Which of these has the lowest spin magnetization?

ErSc2PbC